Below is crystalline La2W2N5 at its relaxed geometry, with properties calculated at the GGA-PBE level.

Cell and atoms, written as POSCAR:
```
La2W2N5
1.0
4.034 0.000 0.000
0.000 4.034 0.000
0.000 0.000 7.629
La W N
2 2 5
direct
0.000 0.000 0.000
0.000 0.000 0.500
0.500 0.500 0.247
0.500 0.500 0.753
0.000 0.500 0.228
0.000 0.500 0.772
0.500 0.000 0.228
0.500 0.000 0.772
0.500 0.500 0.500
```

Computed properties:
symmetry = P4/mmm, No. 123
total energy = -9.6469 eV per atom
Fermi-level density of states = 2.54 states/eV/cell
raw formation energy = -1.048 eV/atom
polymorph energy (0 for the lowest one) = 0 meV per atom

***

Below is crystalline LaWN3 at its relaxed geometry, with properties calculated at the GGA-PBE level.

Cell and atoms, written as POSCAR:
```
LaWN3
1.0
0.000 5.243 5.243
5.243 0.000 5.243
5.243 5.243 0.000
La W N
4 4 12
direct
0.000 0.000 0.000
0.000 0.000 0.500
0.000 0.500 0.000
0.500 0.000 0.000
0.000 0.500 0.500
0.500 0.000 0.500
0.500 0.500 0.000
0.500 0.500 0.500
0.175 0.175 0.575
0.175 0.575 0.175
0.175 0.575 0.575
0.425 0.425 0.825
0.425 0.825 0.425
0.425 0.825 0.825
0.575 0.175 0.175
0.575 0.175 0.575
0.575 0.575 0.175
0.825 0.425 0.425
0.825 0.425 0.825
0.825 0.825 0.425
```

Computed properties:
symmetry = Fd-3m, No. 227
total energy = -9.1088 eV per atom
Fermi-level density of states = 13.21 states/eV/cell
raw formation energy = -0.537 eV/atom

***

Below is crystalline LaWN3 at its relaxed geometry, with properties calculated at the GGA-PBE level.

Cell and atoms, written as POSCAR:
```
LaWN3
1.0
3.840 0.000 0.000
-1.511 6.367 0.000
-1.568 -2.720 5.954
La W N
2 2 6
direct
0.000 0.000 0.000
0.019 0.614 0.409
0.486 0.426 0.811
0.750 0.109 0.503
0.266 0.067 0.599
0.514 0.772 0.274
0.619 0.620 0.671
0.628 0.696 0.097
0.683 0.194 0.258
0.957 0.318 0.856
```

Computed properties:
symmetry = P1, No. 1
total energy = -9.3071 eV per atom
Fermi-level density of states = 0.32 states/eV/cell
raw formation energy = -0.736 eV/atom

***

Below is crystalline LaWN3 at its relaxed geometry, with properties calculated at the GGA-PBE level.

Cell and atoms, written as POSCAR:
```
LaWN3
1.0
3.965 0.000 0.000
0.012 5.857 0.000
1.199 2.029 6.278
La W N
2 2 6
direct
0.000 0.000 0.000
0.311 0.667 0.598
0.459 0.421 0.165
0.814 0.183 0.510
0.341 0.156 0.444
0.435 0.726 0.190
0.514 0.327 0.884
0.772 0.871 0.703
0.802 0.368 0.715
0.950 0.317 0.174
```

Computed properties:
symmetry = P1, No. 1
total energy = -9.3259 eV per atom
Fermi-level density of states = 0.00 states/eV/cell
raw formation energy = -0.755 eV/atom

***

Below is crystalline LaWN3 at its relaxed geometry, with properties calculated at the GGA-PBE level.

Cell and atoms, written as POSCAR:
```
LaWN3
1.0
6.614 0.000 0.000
-3.307 5.728 0.000
0.000 0.000 9.054
La W N
3 3 9
direct
0.000 0.000 0.000
0.333 0.667 0.667
0.667 0.333 0.333
0.000 0.000 0.657
0.333 0.667 0.323
0.667 0.333 0.990
0.055 0.527 0.419
0.139 0.279 0.752
0.139 0.861 0.752
0.388 0.194 0.086
0.473 0.527 0.419
0.473 0.945 0.419
0.721 0.861 0.752
0.806 0.194 0.086
0.806 0.612 0.086
```

Computed properties:
symmetry = R3m, No. 160
total energy = -8.7992 eV per atom
Fermi-level density of states = 0.00 states/eV/cell
raw formation energy = -0.228 eV/atom

***

Below is crystalline La5WN8 at its relaxed geometry, with properties calculated at the GGA-PBE level.

Cell and atoms, written as POSCAR:
```
La5WN8
1.0
-3.792 3.792 3.615
3.792 -3.792 3.615
3.792 3.792 -3.615
La W N
5 1 8
direct
0.000 0.000 0.000
0.146 0.511 0.914
0.489 0.402 0.635
0.598 0.233 0.086
0.767 0.854 0.365
0.250 0.750 0.500
0.015 0.389 0.454
0.194 0.079 0.721
0.358 0.473 0.279
0.439 0.985 0.374
0.527 0.806 0.885
0.611 0.065 0.626
0.921 0.642 0.115
0.935 0.561 0.546
```

Computed properties:
symmetry = I-4, No. 82
total energy = -8.2433 eV per atom
Fermi-level density of states = 4.15 states/eV/cell
raw formation energy = -0.801 eV/atom

***

Here are the calculated calculated volume numbers, same order: 124 288 146 146 343 208 (Å³/cell).